No. 1
Compound: YMoAu2
Source: Alexandria
Functional: PBE
Structure: optimized geometry

CIF file:
```
data_YMoAu2
_symmetry_space_group_name_H-M 'P 1'
_symmetry_Int_Tables_number 1
_cell_length_a 4.868
_cell_length_b 4.868
_cell_length_c 4.868
_cell_angle_alpha 60.00
_cell_angle_beta 60.00
_cell_angle_gamma 60.00
loop_
_symmetry_equiv_pos_as_xyz
'x,y,z'
loop_
_atom_site_label
_atom_site_type_symbol
_atom_site_fract_x
_atom_site_fract_y
_atom_site_fract_z
Y1 Y 0.000 0.000 0.000
Mo1 Mo 0.500 0.500 0.500
Au1 Au 0.250 0.250 0.250
Au2 Au 0.750 0.750 0.750
```

Properties
Spin magnetization = 2.507 μB per formula unit
Energy above the lowest structure with this stoichiometry = 47 meV per atom
E_form = -0.043 eV per atom


No. 2
Compound: Li3InAu
Source: Alexandria
Functional: PBE
Structure: optimized geometry

CIF file:
```
data_Li3InAu
_symmetry_space_group_name_H-M 'P 1'
_symmetry_Int_Tables_number 1
_cell_length_a 4.839
_cell_length_b 4.839
_cell_length_c 4.839
_cell_angle_alpha 90.00
_cell_angle_beta 90.00
_cell_angle_gamma 90.00
loop_
_symmetry_equiv_pos_as_xyz
'x,y,z'
loop_
_atom_site_label
_atom_site_type_symbol
_atom_site_fract_x
_atom_site_fract_y
_atom_site_fract_z
Li1 Li 0.000 0.000 0.500
Li2 Li 0.000 0.500 0.000
Li3 Li 0.500 0.000 0.000
In1 In 0.500 0.500 0.500
Au1 Au 0.000 0.000 0.000
```

Properties
Spin magnetization = 0.000 μB per formula unit
Energy above the lowest structure with this stoichiometry = 237 meV per atom
E_form = -0.158 eV per atom


No. 3
Compound: TaFe3Si
Source: Alexandria
Functional: PBE
Structure: optimized geometry

CIF file:
```
data_TaFe3Si
_symmetry_space_group_name_H-M 'P 1'
_symmetry_Int_Tables_number 1
_cell_length_a 4.520
_cell_length_b 4.520
_cell_length_c 4.520
_cell_angle_alpha 90.00
_cell_angle_beta 90.00
_cell_angle_gamma 90.00
loop_
_symmetry_equiv_pos_as_xyz
'x,y,z'
loop_
_atom_site_label
_atom_site_type_symbol
_atom_site_fract_x
_atom_site_fract_y
_atom_site_fract_z
Ta1 Ta 0.000 0.000 0.000
Fe1 Fe 0.000 0.000 0.500
Fe2 Fe 0.000 0.500 0.000
Fe3 Fe 0.500 0.000 0.000
Si1 Si 0.500 0.500 0.500
```

Properties
Spin magnetization = 5.220 μB per formula unit
Energy above the lowest structure with this stoichiometry = 1763 meV per atom
Formation energy from raw total energies = 8.16 eV per formula unit


No. 4
Compound: Zr6CoPd2
Source: Alexandria
Functional: PBE
Structure: optimized geometry

CIF file:
```
data_Zr6CoPd2
_symmetry_space_group_name_H-M 'P 1'
_symmetry_Int_Tables_number 1
_cell_length_a 5.539
_cell_length_b 7.240
_cell_length_c 10.559
_cell_angle_alpha 90.00
_cell_angle_beta 120.32
_cell_angle_gamma 90.00
loop_
_symmetry_equiv_pos_as_xyz
'x,y,z'
loop_
_atom_site_label
_atom_site_type_symbol
_atom_site_fract_x
_atom_site_fract_y
_atom_site_fract_z
Zr1 Zr 0.093 0.051 0.251
Zr2 Zr 0.093 0.449 0.751
Zr3 Zr 0.193 0.720 0.054
Zr4 Zr 0.193 0.780 0.554
Zr5 Zr 0.381 0.156 0.036
Zr6 Zr 0.381 0.344 0.536
Zr7 Zr 0.619 0.656 0.464
Zr8 Zr 0.619 0.844 0.964
Zr9 Zr 0.807 0.220 0.446
Zr10 Zr 0.807 0.280 0.946
Zr11 Zr 0.907 0.551 0.249
Zr12 Zr 0.907 0.949 0.749
Co1 Co 0.500 0.000 0.500
Co2 Co 0.500 0.500 0.000
Pd1 Pd 0.349 0.095 0.721
Pd2 Pd 0.349 0.405 0.221
Pd3 Pd 0.651 0.595 0.779
Pd4 Pd 0.651 0.905 0.279
```

Properties
Spin magnetization = 0.000 μB per formula unit
Energy above the lowest structure with this stoichiometry = 78 meV per atom
E_form = -0.286 eV per atom


No. 5
Compound: Ti3CdN
Source: Alexandria
Functional: PBE
Structure: optimized geometry

CIF file:
```
data_Ti3CdN
_symmetry_space_group_name_H-M 'P 1'
_symmetry_Int_Tables_number 1
_cell_length_a 7.535
_cell_length_b 5.419
_cell_length_c 9.398
_cell_angle_alpha 90.00
_cell_angle_beta 128.55
_cell_angle_gamma 90.00
loop_
_symmetry_equiv_pos_as_xyz
'x,y,z'
loop_
_atom_site_label
_atom_site_type_symbol
_atom_site_fract_x
_atom_site_fract_y
_atom_site_fract_z
Ti1 Ti 0.061 0.055 0.281
Ti2 Ti 0.061 0.445 0.781
Ti3 Ti 0.324 0.249 0.662
Ti4 Ti 0.324 0.251 0.162
Ti5 Ti 0.408 0.718 0.454
Ti6 Ti 0.408 0.782 0.954
Ti7 Ti 0.592 0.218 0.046
Ti8 Ti 0.592 0.282 0.546
Ti9 Ti 0.676 0.749 0.838
Ti10 Ti 0.676 0.751 0.338
Ti11 Ti 0.939 0.555 0.219
Ti12 Ti 0.939 0.945 0.719
Cd1 Cd 0.161 0.749 0.580
Cd2 Cd 0.161 0.751 0.080
Cd3 Cd 0.839 0.249 0.920
Cd4 Cd 0.839 0.251 0.420
N1 N 0.257 0.128 0.878
N2 N 0.257 0.372 0.378
N3 N 0.743 0.628 0.622
N4 N 0.743 0.872 0.122
```

Properties
Spin magnetization = 0.000 μB per formula unit
Formation energy from raw total energies = -2.45 eV per formula unit


No. 6
Compound: SrLa2PaAs4
Source: Alexandria
Functional: PBE
Structure: optimized geometry

CIF file:
```
data_SrLa2PaAs4
_symmetry_space_group_name_H-M 'P 1'
_symmetry_Int_Tables_number 1
_cell_length_a 7.451
_cell_length_b 4.313
_cell_length_c 7.474
_cell_angle_alpha 90.00
_cell_angle_beta 109.21
_cell_angle_gamma 90.00
loop_
_symmetry_equiv_pos_as_xyz
'x,y,z'
loop_
_atom_site_label
_atom_site_type_symbol
_atom_site_fract_x
_atom_site_fract_y
_atom_site_fract_z
Sr1 Sr 0.000 0.000 0.000
La1 La 0.500 0.000 0.500
La2 La 0.500 0.500 0.000
Pa1 Pa 0.000 0.500 0.500
As1 As 0.235 0.000 0.731
As2 As 0.243 0.500 0.269
As3 As 0.757 0.500 0.731
As4 As 0.765 0.000 0.269
```

Properties
Spin magnetization = 0.001 μB per formula unit
E_form = -1.333 eV per atom


No. 7
Compound: Cd5Pt4
Source: Alexandria
Functional: PBE
Structure: optimized geometry

CIF file:
```
data_Cd5Pt4
_symmetry_space_group_name_H-M 'P 1'
_symmetry_Int_Tables_number 1
_cell_length_a 6.529
_cell_length_b 6.529
_cell_length_c 6.529
_cell_angle_alpha 96.02
_cell_angle_beta 96.02
_cell_angle_gamma 142.21
loop_
_symmetry_equiv_pos_as_xyz
'x,y,z'
loop_
_atom_site_label
_atom_site_type_symbol
_atom_site_fract_x
_atom_site_fract_y
_atom_site_fract_z
Cd1 Cd 0.000 0.000 0.000
Cd2 Cd 0.329 0.329 0.658
Cd3 Cd 0.329 0.671 0.000
Cd4 Cd 0.671 0.329 0.000
Cd5 Cd 0.671 0.671 0.342
Pt1 Pt 0.000 0.338 0.338
Pt2 Pt 0.000 0.662 0.662
Pt3 Pt 0.338 0.000 0.338
Pt4 Pt 0.662 0.000 0.662
```

Properties
Spin magnetization = 0.000 μB per formula unit
Energy above the lowest structure with this stoichiometry = 11 meV per atom
E_form = -0.211 eV per atom


No. 8
Compound: La2CrBr
Source: Alexandria
Functional: PBE
Structure: optimized geometry

CIF file:
```
data_La2CrBr
_symmetry_space_group_name_H-M 'P 1'
_symmetry_Int_Tables_number 1
_cell_length_a 3.762
_cell_length_b 4.936
_cell_length_c 6.186
_cell_angle_alpha 90.00
_cell_angle_beta 90.00
_cell_angle_gamma 90.00
loop_
_symmetry_equiv_pos_as_xyz
'x,y,z'
loop_
_atom_site_label
_atom_site_type_symbol
_atom_site_fract_x
_atom_site_fract_y
_atom_site_fract_z
La1 La 0.000 0.000 0.000
La2 La 0.500 0.500 0.500
Cr1 Cr 0.000 0.000 0.500
Br1 Br 0.500 0.500 0.000
```

Properties
Spin magnetization = 3.166 μB per formula unit
Energy above the lowest structure with this stoichiometry = 44 meV per atom
Formation energy from raw total energies = -1.20 eV per formula unit


No. 9
Compound: TiTcH
Source: Alexandria
Functional: PBE
Structure: optimized geometry

CIF file:
```
data_TiTcH
_symmetry_space_group_name_H-M 'P 1'
_symmetry_Int_Tables_number 1
_cell_length_a 3.030
_cell_length_b 3.030
_cell_length_c 7.312
_cell_angle_alpha 90.00
_cell_angle_beta 90.00
_cell_angle_gamma 90.00
loop_
_symmetry_equiv_pos_as_xyz
'x,y,z'
loop_
_atom_site_label
_atom_site_type_symbol
_atom_site_fract_x
_atom_site_fract_y
_atom_site_fract_z
Ti1 Ti 0.250 0.250 0.162
Ti2 Ti 0.750 0.750 0.838
Tc1 Tc 0.250 0.250 0.604
Tc2 Tc 0.750 0.750 0.396
H1 H 0.250 0.750 0.000
H2 H 0.750 0.250 0.000
```

Properties
Total DFT energy (no corrections) = -7.5384 eV/atom
Spin magnetization = 0.000 μB per formula unit


No. 10
Compound: AgW4Se8
Source: Alexandria
Functional: PBE
Structure: optimized geometry

CIF file:
```
data_AgW4Se8
_symmetry_space_group_name_H-M 'P 1'
_symmetry_Int_Tables_number 1
_cell_length_a 8.674
_cell_length_b 8.674
_cell_length_c 8.674
_cell_angle_alpha 44.74
_cell_angle_beta 44.74
_cell_angle_gamma 44.74
loop_
_symmetry_equiv_pos_as_xyz
'x,y,z'
loop_
_atom_site_label
_atom_site_type_symbol
_atom_site_fract_x
_atom_site_fract_y
_atom_site_fract_z
Ag1 Ag 0.000 0.000 0.000
W1 W 0.000 0.000 0.500
W2 W 0.000 0.500 0.000
W3 W 0.500 0.000 0.000
W4 W 0.500 0.500 0.500
Se1 Se 0.239 0.742 0.742
Se2 Se 0.240 0.240 0.240
Se3 Se 0.258 0.258 0.761
Se4 Se 0.258 0.761 0.258
Se5 Se 0.742 0.239 0.742
Se6 Se 0.742 0.742 0.239
Se7 Se 0.760 0.760 0.760
Se8 Se 0.761 0.258 0.258
```

Properties
Spin magnetization = 0.000 μB per formula unit
Formation energy from raw total energies = -2.79 eV per formula unit


No. 11
Compound: K2MgAlF6
Source: Alexandria
Functional: PBE
Structure: optimized geometry

CIF file:
```
data_K2MgAlF6
_symmetry_space_group_name_H-M 'P 1'
_symmetry_Int_Tables_number 1
_cell_length_a 5.895
_cell_length_b 5.895
_cell_length_c 5.895
_cell_angle_alpha 120.09
_cell_angle_beta 120.09
_cell_angle_gamma 89.84
loop_
_symmetry_equiv_pos_as_xyz
'x,y,z'
loop_
_atom_site_label
_atom_site_type_symbol
_atom_site_fract_x
_atom_site_fract_y
_atom_site_fract_z
K1 K 0.250 0.750 0.500
K2 K 0.750 0.250 0.500
Mg1 Mg 0.000 0.000 0.000
Al1 Al 0.500 0.500 0.000
F1 F 0.274 0.274 0.548
F2 F 0.274 0.726 0.000
F3 F 0.275 0.275 0.000
F4 F 0.725 0.725 0.000
F5 F 0.726 0.274 0.000
F6 F 0.726 0.726 0.452
```

Properties
Spin magnetization = 0.000 μB per formula unit
Formation energy from raw total energies = -29.33 eV per formula unit


No. 12
Compound: LiSb5
Source: Alexandria
Functional: PBE
Structure: optimized geometry

CIF file:
```
data_LiSb5
_symmetry_space_group_name_H-M 'P 1'
_symmetry_Int_Tables_number 1
_cell_length_a 5.429
_cell_length_b 8.919
_cell_length_c 8.919
_cell_angle_alpha 21.68
_cell_angle_beta 90.00
_cell_angle_gamma 90.00
loop_
_symmetry_equiv_pos_as_xyz
'x,y,z'
loop_
_atom_site_label
_atom_site_type_symbol
_atom_site_fract_x
_atom_site_fract_y
_atom_site_fract_z
Li1 Li 0.000 0.000 0.000
Sb1 Sb 0.000 0.353 0.353
Sb2 Sb 0.000 0.647 0.647
Sb3 Sb 0.500 0.253 0.253
Sb4 Sb 0.500 0.571 0.571
Sb5 Sb 0.500 0.908 0.908
```

Properties
Spin magnetization = 0.000 μB per formula unit
Energy above the lowest structure with this stoichiometry = 42 meV per atom
Formation energy from raw total energies = 0.33 eV per formula unit